Arrangement i

A plane-wave DFT calculation with PBE was carried out for an optimized crystal structure of LiPbI2N.

Calculated values
**Magnetic moment**: 2.2 μB per formula unit
**Space-group type**: No. 123

Cell and atoms, written as POSCAR:
```
LiPbI2N
1.0
-2.7455 2.9341 -4.0912
2.1627 -3.5208 -3.9764
-3.2396 -2.4560 0.4127
Pb I Li N
1 2 1 1
Direct
0.5000 0.5000 0.5000
0.0000 0.5000 0.0000
0.5000 0.0000 0.0000
0.0000 0.0000 0.0000
0.0000 0.0000 0.5000
```

---

Arrangement ii

A plane-wave DFT calculation with PBE was carried out for an optimized crystal structure of LiPbI2N.

Calculated values
**Magnetic moment**: 1.4 μB per formula unit
**Space-group type**: No. 123

Cell and atoms, written as POSCAR:
```
LiPbI2N
1.0
6.3535 0.0000 0.0000
0.0000 6.3535 0.0000
0.0000 0.0000 4.5673
Pb I Li N
1 2 1 1
Direct
0.0000 0.0000 0.0000
0.0000 0.5000 0.0000
0.5000 0.0000 0.0000
0.5000 0.5000 0.5000
0.0000 0.0000 0.5000
```

---

Pick the most stable structure from those above. Pick: arrangement i